Entry from Alexandria via LeMat-Bulk: a relaxed CsMgTl2Co crystal (GGA-PBE).

The structure in CIF format:
```
data_CsMgTl2Co
_chemical_formula_sum 'Cs1 Mg1 Tl2 Co1'
_cell_length_a 5.227
_cell_length_b 5.227
_cell_length_c 5.254
_cell_angle_alpha 90.00
_cell_angle_beta 90.00
_cell_angle_gamma 90.00
_symmetry_space_group_name_H-M 'P 4/m m m'
_symmetry_Int_Tables_number 123
_symmetry_space_group_name_Hall '-P 4 2'
loop_
_atom_site_label
_atom_site_fract_x
_atom_site_fract_y
_atom_site_fract_z
Cs1 0.000 0.000 0.000
Mg1 0.500 0.500 0.000
Tl1 0.000 0.500 0.500
Co1 0.500 0.500 0.500
```

The value obtained for the formation energy is 0.1302 eV/atom. The density is 7.23 Mg/m³.